(1)
Cu9Bi after structural relaxation, computed with PBE-GGA.

a = 2.7935 Å, b = 3.3761 Å, c = 38.4040 Å
α = 90.00°, β = 90.00°, γ = 90.00°
Fractional positions:
1 Cu 0.0000 0.0000 0.8843
2 Cu 0.5000 0.5000 0.7178
3 Cu 0.0000 0.0000 0.1490
4 Cu 0.5000 0.5000 0.7844
5 Cu 0.0000 0.0000 0.9504
6 Cu 0.0000 0.0000 0.0166
7 Cu 0.5000 0.5000 0.1821
8 Cu 0.5000 0.5000 0.2491
9 Cu 0.0000 0.0000 0.2156
10 Cu 0.0000 0.0000 0.2822
11 Cu 0.0000 0.0000 0.8179
12 Cu 0.5000 0.5000 0.0496
13 Cu 0.0000 0.0000 0.0828
14 Cu 0.0000 0.0000 0.7509
15 Cu 0.5000 0.5000 0.9172
16 Cu 0.5000 0.5000 0.9834
17 Cu 0.5000 0.5000 0.8510
18 Cu 0.5000 0.5000 0.1157
19 Bi 0.5000 0.5000 0.3330
20 Bi 0.0000 0.0000 0.6670

Computed properties:
**Energy relative to the lowest polymorph listed for this composition**: 0.000 eV/atom
**Symmetry**: Pmmn, No. 59

---

(2)
Cu8Bi after structural relaxation, computed with PBE-GGA.

a = 4.3859 Å, b = 4.3859 Å, c = 28.8594 Å
α = 90.00°, β = 90.00°, γ = 48.12°
Fractional positions:
1 Cu 0.0503 0.0503 0.5410
2 Cu 0.4516 0.4516 0.5960
3 Cu 0.8536 0.8536 0.6523
4 Cu 0.1515 0.1515 0.6239
5 Cu 0.8485 0.8485 0.3761
6 Cu 0.3493 0.3493 0.5135
7 Cu 0.2469 0.2469 0.7073
8 Cu 0.9497 0.9497 0.4590
9 Cu 0.7512 0.7512 0.5694
10 Cu 0.2488 0.2488 0.4306
11 Cu 0.5518 0.5518 0.6801
12 Cu 0.4482 0.4482 0.3199
13 Cu 0.6507 0.6507 0.4865
14 Cu 0.7531 0.7531 0.2927
15 Cu 0.1464 0.1464 0.3477
16 Cu 0.5484 0.5484 0.4040
17 Bi 0.9476 0.9476 0.7533
18 Bi 0.0524 0.0524 0.2467

Computed properties:
**E_tot**: -3.696 eV per atom
**Symmetry**: C2/m, No. 12

---

(3)
CuBi after structural relaxation, computed with PBE-GGA.

a = 5.1930 Å, b = 4.2513 Å, c = 8.1077 Å
α = 90.00°, β = 90.00°, γ = 90.00°
Fractional positions:
1 Bi 0.7500 0.0000 0.7550
2 Bi 0.2500 0.5000 0.8149
3 Bi 0.2500 0.0000 0.2450
4 Bi 0.7500 0.5000 0.1851
5 Cu 0.0000 0.5000 0.5000
6 Cu 0.7500 0.0000 0.4202
7 Cu 0.5000 0.5000 0.5000
8 Cu 0.2500 0.0000 0.5798

Computed properties:
**E_tot**: -3.835 eV per atom
**Symmetry**: Pmma, No. 51

---

(4)
CuBi after structural relaxation, computed with PBE-GGA.

a = 5.4888 Å, b = 3.9435 Å, c = 4.1041 Å
α = 90.00°, β = 90.00°, γ = 111.05°
Fractional positions:
1 Cu 0.8517 0.4258 0.7500
2 Cu 0.1483 0.5742 0.2500
3 Bi 0.2848 0.1424 0.7500
4 Bi 0.7153 0.8576 0.2500

Computed properties:
**E_tot**: -3.747 eV per atom
**Symmetry**: Cmcm, No. 63

---

Number 1: calculated density 7.16 g/cm³. Number 2: calculated density 5.76 g/cm³. Number 3: calculated density 10.11 g/cm³. Number 4: calculated density 10.92 g/cm³.